Computed, not measured: InBi2Pd7Pb2 after structural relaxation at the PBE level of DFT.

Cell lengths 4.040, 4.040, 16.028 Å; angles 79.96, 79.96, 89.27 degrees
Element x y z (fractional)
Pb: 0.671 0.671 0.747
Pb: 0.329 0.329 0.253
Pd: 0.500 0.500 0.000
Pd: 0.775 0.775 0.563
Pd: 0.912 0.412 0.129
Pd: 0.225 0.225 0.437
Pd: 0.588 0.088 0.871
Pd: 0.412 0.912 0.129
Pd: 0.088 0.588 0.871
Bi: 0.261 0.261 0.605
Bi: 0.739 0.739 0.395
In: 0.000 0.000 0.000

Formation enthalpy at 0 K (kJ per mole of atoms): -23.92
Magnetic moment (μB/cell): 0.00